{"formula": "NbNiRh3", "functional": "PBE", "state": "relaxed", "formation_energy_kj_per_mol_atoms": 86.75, "relative_energy_mev_per_atom": 762, "total_magnetization_mub_per_fu": 1.0, "lattice": [[4.402, 0.000, 0.000], [0.000, 4.402, 0.000], [0.000, 0.000, 4.402]], "species": ["Nb", "Ni", "Rh", "Rh", "Rh"], "frac_coords": [[0.000, 0.000, 0.000], [0.500, 0.500, 0.500], [0.000, 0.500, 0.500], [0.500, 0.000, 0.500], [0.500, 0.500, 0.000]]}

=====

{"formula": "CdInSn6", "functional": "PBE", "state": "relaxed", "formation_energy_kj_per_mol_atoms": 5.27, "relative_energy_mev_per_atom": 0, "total_magnetization_mub_per_fu": 0.0, "lattice": [[4.461, -5.506, 0.000], [4.461, 5.506, 0.000], [-4.397, 0.000, 4.469]], "species": ["Cd", "In", "Sn", "Sn", "Sn", "Sn", "Sn", "Sn"], "frac_coords": [[0.000, 0.000, 0.000], [0.000, 0.000, 0.500], [0.007, 0.493, 0.250], [0.493, 0.007, 0.250], [0.498, 0.498, 0.750], [0.502, 0.502, 0.250], [0.507, 0.993, 0.750], [0.993, 0.507, 0.750]]}

=====

{"formula": "YZnSi", "functional": "PBE", "state": "relaxed", "e_form_raw_ev_per_atom": -0.21, "total_magnetization_mub_per_fu": 0.0, "lattice": [[0.000, 2.667, 5.249], [2.170, 0.000, 5.249], [2.170, 2.667, 0.000]], "species": ["Y", "Zn", "Si"], "frac_coords": [[0.000, 0.000, 0.000], [0.304, 0.304, 0.696], [0.687, 0.687, 0.313]]}